DFT (PBEsol) results for a relaxed structure of Nd2Te2W2O13.

Properties
Theoretical density, kg/m³: 7190
Formation energy from raw total energies, eV per formula unit: -42.34

Lattice parameters (Å, degrees): 6.6220 6.8609 11.5285 90.50 98.24 93.95
Element x y z (fractional)
Te1 0.1657 0.1765 0.4440
O1 0.0109 0.4141 0.1447
O2 0.8414 0.0493 0.0698
O3 0.3832 0.3454 0.5148
O4 0.1586 0.9507 0.9302
O5 0.6510 0.4587 0.7232
O6 0.9250 0.1696 0.8066
O7 0.0080 0.3899 0.3783
O8 0.9920 0.6101 0.6217
O9 0.0750 0.8304 0.1934
W1 0.7496 0.8804 0.1876
W2 0.2504 0.1196 0.8124
O10 0.3490 0.5413 0.2768
Te2 0.2513 0.6170 0.9524
O11 0.5173 0.1029 0.8530
O12 0.9891 0.5859 0.8553
O13 0.4264 0.6838 0.8423
W3 0.1108 0.6256 0.2970
O14 0.8214 0.2438 0.5653
Te3 0.8343 0.8235 0.5560
W4 0.8892 0.3744 0.7030
O15 0.7245 0.6676 0.0482
O16 0.4827 0.8971 0.1470
O17 0.2017 0.9535 0.6877
Te4 0.7487 0.3830 0.0476
O18 0.3197 0.1417 0.3208
O19 0.7983 0.0465 0.3123
O20 0.6168 0.6546 0.4852
O21 0.2047 0.3481 0.7198
Nd1 0.2272 0.1334 0.1182
O22 0.6803 0.8583 0.6792
O23 0.2755 0.3324 0.9518
Nd2 0.7728 0.8666 0.8818
Nd3 0.6317 0.3680 0.3686
O24 0.7953 0.6519 0.2802
O25 0.5736 0.3162 0.1577
O26 0.1786 0.7562 0.4347
Nd4 0.3683 0.6320 0.6314

DFT (PBEsol) results for a relaxed structure of Nd2Ti2O7.

Properties
Theoretical density, kg/m³: 6081
Formation energy from raw total energies, eV per formula unit: -36.20

Lattice parameters (Å, degrees): 7.2639 7.2639 7.2639 60.00 60.00 60.00
Element x y z (fractional)
O1 0.7006 0.2994 0.2994
O2 0.2994 0.7006 0.7006
O3 0.2994 0.7006 0.2994
Nd1 0.1250 0.6250 0.1250
O4 0.5494 0.9506 0.9506
Nd2 0.1250 0.1250 0.1250
Nd3 0.1250 0.1250 0.6250
O5 0.9506 0.5494 0.9506
Ti1 0.1250 0.6250 0.6250
Ti2 0.6250 0.1250 0.6250
Ti3 0.6250 0.6250 0.6250
O6 0.9506 0.5494 0.5494
O7 0.5494 0.5494 0.9506
O8 0.5494 0.9506 0.5494
O9 0.7006 0.7006 0.2994
O10 0.2994 0.2994 0.7006
O11 0.9506 0.9506 0.5494
Ti4 0.6250 0.6250 0.1250
O12 0.2500 0.2500 0.2500
O13 0.7006 0.2994 0.7006
O14 0.0000 0.0000 0.0000
Nd4 0.6250 0.1250 0.1250

DFT (PBEsol) results for a relaxed structure of Nd2Ti2O7.

Properties
Theoretical density, kg/m³: 6139
Formation energy from raw total energies, eV per formula unit: -36.69

Lattice parameters (Å, degrees): 5.4503 7.6401 13.0373 98.51 90.00 90.00
Element x y z (fractional)
O1 0.9805 0.4558 0.9809
Nd1 0.2584 0.7818 0.1221
O2 0.0649 0.0675 0.1808
Ti1 0.2126 0.0852 0.3258
Ti2 0.2441 0.9717 0.8785
O3 0.8140 0.6743 0.6958
Nd2 0.2216 0.1490 0.6177
Ti3 0.7126 0.9148 0.6742
Ti4 0.7424 0.5312 0.1190
Nd3 0.7216 0.8510 0.3823
O4 0.5461 0.6191 0.2283
O5 0.4815 0.9661 0.0206
Ti5 0.7441 0.0283 0.1215
O6 0.0461 0.3809 0.7717
Nd4 0.7584 0.2182 0.8779
O7 0.4500 0.4220 0.5936
Nd5 0.1497 0.6449 0.5707
Ti6 0.2424 0.4688 0.8810
O8 0.6877 0.2773 0.1094
Nd6 0.2458 0.2706 0.0890
O9 0.6494 0.1729 0.6940
O10 0.5649 0.9325 0.8192
O11 0.4375 0.6310 0.4294
O12 0.9203 0.9096 0.5575
O13 0.4254 0.8728 0.6121
O14 0.1494 0.8271 0.3060
O15 0.8334 0.7727 0.0916
Nd7 0.6497 0.3551 0.4293
O16 0.9500 0.5780 0.4064
O17 0.5498 0.9953 0.2310
Ti7 0.7205 0.4272 0.6800
O18 0.1877 0.7227 0.8906
O19 0.4805 0.5442 0.0191
O20 0.0498 0.0047 0.7690
O21 0.5613 0.4780 0.8177
O22 0.0613 0.5220 0.1823
O23 0.9375 0.3690 0.5706
O24 0.9815 0.0339 0.9794
O25 0.9254 0.1272 0.3879
O26 0.3334 0.2273 0.9084
O27 0.4203 0.0904 0.4425
Nd8 0.7458 0.7294 0.9110
O28 0.3140 0.3257 0.3042
Ti8 0.2205 0.5728 0.3200